(1)
VASP calculation (GGA-PBE) on crystalline Li2LaAg3 at its relaxed geometry.

Its formation enthalpy at 0 K is -0.20 eV/atom. For the volume, the calculation gives 21.08 Å³ per atom. For the electronic total energy, the calculation gives -37.044 eV/cell. For the total magnetic moment, the calculation gives 0.0 μB/f.u.

The structure belongs to space group P6_3/mmc (No. 194); the cell edges are 4.6080, 4.6080 and 13.7551 Å and the angles 90.00°, 90.00° and 120.00°. The asymmetric unit holds Li at (0.3333, 0.6667, 0.0697), La at (0.0000, 0.0000, 0.2500), Ag at (0.0000, 0.0000, 0.0000) and Ag at (0.3333, 0.6667, 0.6201).


(2)
VASP calculation (GGA-PBE) on crystalline Li8LaAg4 at its relaxed geometry.

Its formation enthalpy at 0 K is -0.13 eV/atom. For the volume, the calculation gives 19.06 Å³ per atom. For the electronic total energy, the calculation gives -66.678 eV/cell. For the total magnetic moment, the calculation gives 0.1 μB/f.u.

The structure belongs to space group I4/mmm (No. 139); the cell edges are 9.3380, 9.3380 and 5.6829 Å and the angles 90.00°, 90.00° and 90.00°. The asymmetric unit holds Li at (0.0000, 0.2243, 0.0000), Li at (0.0000, 0.3512, 0.5000), La at (0.0000, 0.0000, 0.5000) and Ag at (0.2500, 0.2500, 0.2500).


(3)
VASP calculation (GGA-PBE) on crystalline LiLa4Ag2 at its relaxed geometry.

Its formation enthalpy at 0 K is 0.00 eV/atom. For the volume, the calculation gives 31.20 Å³ per atom. For the electronic total energy, the calculation gives -82.003 eV/cell. For the total magnetic moment, the calculation gives 0.0 μB/f.u.

The structure belongs to space group R-3m (No. 166, hexagonal axes); the cell edges are 5.3611, 5.3611 and 26.3226 Å and the angles 90.00°, 90.00° and 120.00°. The asymmetric unit holds Li at (0.0000, 0.0000, 0.0000), La at (0.0000, 0.0000, 0.2148), La at (0.0000, 0.0000, 0.3743) and Ag at (0.0000, 0.0000, 0.0947).


(4)
VASP calculation (GGA-PBE) on crystalline Li6LaAg2 at its relaxed geometry.

Its formation enthalpy at 0 K is -0.11 eV/atom. For the volume, the calculation gives 21.19 Å³ per atom. For the electronic total energy, the calculation gives -23.127 eV/cell. For the total magnetic moment, the calculation gives 0.0 μB/f.u.

The structure belongs to space group P4/mmm (No. 123); the cell edges are 4.1700, 4.1700 and 10.9677 Å and the angles 90.00°, 90.00° and 90.00°. The asymmetric unit holds Li at (0.0000, 0.0000, 0.0000), Li at (0.0000, 0.5000, 0.2070), Li at (0.5000, 0.5000, 0.0000), La at (0.0000, 0.0000, 0.5000) and Ag at (0.5000, 0.5000, 0.3683).